The following is a PBE calculation of a relaxed Cs3Tl2S3 crystal, from Alexandria.

D(E_F) in states/eV per cell: 2.75
Space-group type: No. 63
ΔE_f (raw) in eV per atom: -0.70

abc: 7.5881 7.5881 16.9772
angles: 90.00 90.00 141.65
With the nearest neighbours (Å) after each atom.
Fractional positions:
Cs  0.0610  0.9390  0.6085  6 S 3.80-3.93, 3 Tl 3.85-4.14, 1 Cs 4.08
Cs  0.0610  0.9390  0.8915  6 S 3.80-3.93, 3 Tl 3.85-4.14, 1 Cs 4.08
Cs  0.3419  0.6581  0.7500  4 S 3.42-3.45
Cs  0.6581  0.3419  0.2500  4 S 3.42-3.45
Cs  0.9390  0.0610  0.1085  6 S 3.80-3.93, 3 Tl 3.85-4.14, 1 Cs 4.08
Cs  0.9390  0.0610  0.3915  6 S 3.80-3.93, 3 Tl 3.85-4.14, 1 Cs 4.08
Tl  0.2358  0.7642  0.0855  4 S 2.89-3.05
Tl  0.2358  0.7642  0.4145  4 S 2.89-3.05
Tl  0.7642  0.2358  0.5855  4 S 2.89-3.05
Tl  0.7642  0.2358  0.9145  4 S 2.89-3.05
S  0.3218  0.6782  0.2500  2 Tl 3.05
S  0.3622  0.6378  0.5473  3 Tl 2.89-2.93
S  0.3622  0.6378  0.9527  3 Tl 2.89-2.93
S  0.6378  0.3622  0.0473  3 Tl 2.89-2.93
S  0.6378  0.3622  0.4527  3 Tl 2.89-2.93
S  0.6782  0.3218  0.7500  2 Tl 3.05

---

The following is a PBE calculation of a relaxed NaTiPt3 crystal, from Alexandria.

Formation energy in meV/atom: 190
E above lowest polymorph in meV per atom: 0
D(E_F) in states/eV per cell: 2.96
Space-group type: No. 221

abc: 4.7649 4.7649 4.7649
angles: 90.00 90.00 90.00
With the nearest neighbours (Å) after each atom.
Fractional positions:
Na  0.0000  0.0000  0.0000  12 Pt 3.37
Ti  0.5000  0.5000  0.5000  6 Pt 2.38
Pt  0.0000  0.5000  0.5000  2 Ti 2.38
Pt  0.5000  0.0000  0.5000  2 Ti 2.38
Pt  0.5000  0.5000  0.0000  2 Ti 2.38

---

The following is a PBE calculation of a relaxed TbNp3Tl3S8 crystal, from Alexandria.

D(E_F) in states/eV per cell: 28.36
Space-group type: No. 166
ΔE_f (raw) in eV per atom: -1.21

abc: 8.8354 8.8354 8.8354
angles: 54.34 54.34 54.34
With the nearest neighbours (Å) after each atom.
Fractional positions:
Tb  0.0000  0.0000  0.0000  6 S 2.77
Np  0.0000  0.5000  0.5000  6 S 2.74
Np  0.5000  0.0000  0.5000  6 S 2.74
Np  0.5000  0.5000  0.0000  6 S 2.74
Tl  0.0000  0.0000  0.5000  6 S 3.28
Tl  0.0000  0.5000  0.0000  6 S 3.28
Tl  0.5000  0.0000  0.0000  6 S 3.28
S  0.2330  0.2330  0.7277  2 Np 2.74, 1 Tb 2.77
S  0.2330  0.7277  0.2330  2 Np 2.74, 1 Tb 2.77
S  0.2692  0.2692  0.2692  3 Np 2.74
S  0.2723  0.7670  0.7670  2 Np 2.74, 1 Tb 2.77
S  0.7277  0.2330  0.2330  2 Np 2.74, 1 Tb 2.77
S  0.7308  0.7308  0.7308  3 Np 2.74
S  0.7670  0.2723  0.7670  2 Np 2.74, 1 Tb 2.77
S  0.7670  0.7670  0.2723  2 Np 2.74, 1 Tb 2.77

---

The following is a PBE calculation of a relaxed ZnCd2Cu crystal, from Alexandria.

Formation energy in meV/atom: 126
D(E_F) in states/eV per cell: 0.78
Space-group type: No. 166

abc: 10.3979 10.3979 10.3979
angles: 15.98 15.98 15.98
With the nearest neighbours (Å) after each atom.
Fractional positions:
Zn  0.0000  0.0000  0.0000  6 Zn 2.89
Cd  0.2409  0.2409  0.2409  3 Cu 2.83, 6 Cd 2.89
Cd  0.7591  0.7591  0.7591  3 Cu 2.83, 6 Cd 2.89
Cu  0.5000  0.5000  0.5000  6 Cd 2.83, 6 Cu 2.89

---

The following is a PBE calculation of a relaxed CeDy15Ho4 crystal, from Alexandria.

Formation energy in meV/atom: 29
D(E_F) in states/eV per cell: 28.00
Space-group type: No. 123

abc: 5.0057 5.0057 25.0177
angles: 90.00 90.00 90.00
With the nearest neighbours (Å) after each atom.
Fractional positions:
Ce  0.0000  0.0000  0.0000  12 Dy 3.53-3.54
Dy  0.0000  0.5000  0.0996  8 Dy 3.53-3.57, 2 Ce 3.53, 2 Ho 3.54
Dy  0.0000  0.5000  0.2999  8 Dy 3.52-3.54, 4 Ho 3.54
Dy  0.0000  0.5000  0.5000  8 Dy 3.54, 4 Ho 3.54
Dy  0.0000  0.5000  0.7001  8 Dy 3.52-3.54, 4 Ho 3.54
Dy  0.0000  0.5000  0.9004  8 Dy 3.53-3.57, 2 Ce 3.53, 2 Ho 3.54
Dy  0.5000  0.0000  0.0996  8 Dy 3.53-3.57, 2 Ce 3.53, 2 Ho 3.54
Dy  0.5000  0.0000  0.2999  8 Dy 3.52-3.54, 4 Ho 3.54
Dy  0.5000  0.0000  0.5000  8 Dy 3.54, 4 Ho 3.54
Dy  0.5000  0.0000  0.7001  8 Dy 3.52-3.54, 4 Ho 3.54
Dy  0.5000  0.0000  0.9004  8 Dy 3.53-3.57, 2 Ce 3.53, 2 Ho 3.54
Dy  0.5000  0.5000  0.0000  8 Dy 3.53, 4 Ce 3.54
Dy  0.5000  0.5000  0.2011  8 Dy 3.52-3.57, 4 Ho 3.54
Dy  0.5000  0.5000  0.4000  8 Dy 3.54, 4 Ho 3.54
Dy  0.5000  0.5000  0.6000  8 Dy 3.54, 4 Ho 3.54
Dy  0.5000  0.5000  0.7989  8 Dy 3.52-3.57, 4 Ho 3.54
Ho  0.0000  0.0000  0.1996  12 Dy 3.54
Ho  0.0000  0.0000  0.4000  12 Dy 3.54
Ho  0.0000  0.0000  0.6000  12 Dy 3.54
Ho  0.0000  0.0000  0.8004  12 Dy 3.54

---

Please write out number 1 again, unchanged.
The following is a PBE calculation of a relaxed Cs3Tl2S3 crystal, from Alexandria.

D(E_F) in states/eV per cell: 2.75
Space-group type: No. 63
ΔE_f (raw) in eV per atom: -0.70

abc: 7.5881 7.5881 16.9772
angles: 90.00 90.00 141.65
With the nearest neighbours (Å) after each atom.
Fractional positions:
Cs  0.0610  0.9390  0.6085  6 S 3.80-3.93, 3 Tl 3.85-4.14, 1 Cs 4.08
Cs  0.0610  0.9390  0.8915  6 S 3.80-3.93, 3 Tl 3.85-4.14, 1 Cs 4.08
Cs  0.3419  0.6581  0.7500  4 S 3.42-3.45
Cs  0.6581  0.3419  0.2500  4 S 3.42-3.45
Cs  0.9390  0.0610  0.1085  6 S 3.80-3.93, 3 Tl 3.85-4.14, 1 Cs 4.08
Cs  0.9390  0.0610  0.3915  6 S 3.80-3.93, 3 Tl 3.85-4.14, 1 Cs 4.08
Tl  0.2358  0.7642  0.0855  4 S 2.89-3.05
Tl  0.2358  0.7642  0.4145  4 S 2.89-3.05
Tl  0.7642  0.2358  0.5855  4 S 2.89-3.05
Tl  0.7642  0.2358  0.9145  4 S 2.89-3.05
S  0.3218  0.6782  0.2500  2 Tl 3.05
S  0.3622  0.6378  0.5473  3 Tl 2.89-2.93
S  0.3622  0.6378  0.9527  3 Tl 2.89-2.93
S  0.6378  0.3622  0.0473  3 Tl 2.89-2.93
S  0.6378  0.3622  0.4527  3 Tl 2.89-2.93
S  0.6782  0.3218  0.7500  2 Tl 3.05